No. 1
# CrNiAsSe2 | Alexandria via LeMat-Bulk | SCAN | single point on PBEsol structure
data_CrNiAsSe2
_cell_length_a 4.781
_cell_length_b 4.781
_cell_length_c 4.305
_cell_angle_alpha 90.00
_cell_angle_beta 90.00
_cell_angle_gamma 90.00
_symmetry_space_group_name_H-M 'P 4/m m m'
_symmetry_Int_Tables_number 123
_symmetry_space_group_name_Hall '-P 4 2'
loop_
_atom_site_label
_atom_site_fract_x
_atom_site_fract_y
_atom_site_fract_z
Cr1 0.000 0.000 0.000
Ni1 0.500 0.500 0.500
As1 0.500 0.500 0.000
Se1 0.000 0.500 0.500
# uncorrected energy = -93.2 eV per formula unit
# mass density = 5.8 g/cm³

No. 2
# CaMgZr2 | Alexandria via LeMat-Bulk | SCAN | single point on PBEsol structure
data_CaMgZr2
_cell_length_a 3.030
_cell_length_b 4.957
_cell_length_c 6.425
_cell_angle_alpha 90.00
_cell_angle_beta 90.00
_cell_angle_gamma 90.00
_symmetry_space_group_name_H-M 'P m m m'
_symmetry_Int_Tables_number 47
_symmetry_space_group_name_Hall '-P 2 2'
loop_
_atom_site_label
_atom_site_fract_x
_atom_site_fract_y
_atom_site_fract_z
Ca1 0.000 0.000 0.000
Mg1 0.000 0.000 0.500
Zr1 0.500 0.500 0.261
# ΔE_f = 143 kJ/mol of formula units
# mass density = 4.2 g/cm³